No. 1
First-principles (PBE) data for a relaxed structure of Ga2RePd, as listed in Alexandria via LeMat-Bulk.

The structure in POSCAR format:
```
Ga2RePd
1.0
-1.968 1.968 8.731
1.968 -1.968 8.731
1.968 1.968 -8.731
Ga Re Pd
4 2 2
direct
0.111 0.625 0.986
0.375 0.361 0.486
0.639 0.125 0.014
0.875 0.889 0.514
0.000 0.000 0.000
0.750 0.250 0.500
0.250 0.750 0.500
0.500 0.500 0.000
```

space-group type = I-42d, No. 122
excess energy over the best structure of this formula in the dataset = 0.5317 eV per atom
calculated volume = 135.3 Å³/cell
calculated density = 10.60 g cm⁻³
final energy = -5.575 eV/atom
N(E_F) = 3.09 states/eV/f.u.
DFT formation energy = 0.3487 eV/atom

No. 2
First-principles (PBE) data for a relaxed structure of CeVP2, as listed in Alexandria via LeMat-Bulk.

The structure in POSCAR format:
```
CeVP2
1.0
-1.834 1.834 5.764
1.834 -1.834 5.764
1.834 1.834 -5.764
Ce V P
1 1 2
direct
0.000 0.000 0.000
0.250 0.750 0.500
0.372 0.372 0.000
0.628 0.628 0.000
```

space-group type = I-4m2, No. 119
excess energy over the best structure of this formula in the dataset = 0.0000 eV per atom
calculated volume = 77.6 Å³/cell
calculated density = 5.42 g cm⁻³
final energy = -7.206 eV/atom
N(E_F) = 5.07 states/eV/f.u.
DFT formation energy = -0.7376 eV/atom

No. 3
First-principles (PBE) data for a relaxed structure of NaSrZnCd2, as listed in Alexandria via LeMat-Bulk.

The structure in POSCAR format:
```
NaSrZnCd2
1.0
5.191 0.000 0.000
0.000 5.191 0.000
0.000 0.000 5.385
Na Sr Zn Cd
1 1 1 2
direct
0.000 0.000 0.000
0.500 0.500 0.000
0.000 0.000 0.500
0.000 0.500 0.500
0.500 0.000 0.500
```

space-group type = P4/mmm, No. 123
calculated volume = 145.1 Å³/cell
calculated density = 4.59 g cm⁻³
final energy = -1.239 eV/atom
N(E_F) = 3.23 states/eV/f.u.
DFT formation energy = -0.0178 eV/atom

No. 4
First-principles (PBE) data for a relaxed structure of AsIrPdSe2, as listed in Alexandria via LeMat-Bulk.

The structure in POSCAR format:
```
AsIrPdSe2
1.0
5.043 0.000 0.000
0.000 5.043 0.000
0.000 0.000 4.585
As Ir Pd Se
1 1 1 2
direct
0.000 0.000 0.000
0.000 0.000 0.500
0.500 0.500 0.000
0.000 0.500 0.500
0.500 0.000 0.500
```

space-group type = P4/mmm, No. 123
excess energy over the best structure of this formula in the dataset = 0.0000 eV per atom
calculated volume = 116.6 Å³/cell
calculated density = 7.57 g cm⁻³
final energy = -4.421 eV/atom
formation energy without anion corrections = 0.714 eV per atom
N(E_F) = 6.00 states/eV/f.u.

No. 5
First-principles (PBE) data for a relaxed structure of BaInAg2Pb, as listed in Alexandria via LeMat-Bulk.

The structure in POSCAR format:
```
BaInAg2Pb
1.0
-2.463 2.502 5.884
2.463 -2.502 5.884
2.463 2.502 -5.884
Ba In Ag Pb
1 1 2 1
direct
0.000 0.000 0.000
0.238 0.738 0.500
0.633 0.633 0.000
0.758 0.258 0.500
0.389 0.389 0.000
```

space-group type = Imm2, No. 44
calculated volume = 145.0 Å³/cell
calculated density = 7.73 g cm⁻³
final energy = -3.077 eV/atom
N(E_F) = 2.05 states/eV/f.u.
DFT formation energy = -0.2627 eV/atom

No. 6
First-principles (PBE) data for a relaxed structure of Nb5TcGe5, as listed in Alexandria via LeMat-Bulk.

The structure in POSCAR format:
```
Nb5TcGe5
1.0
5.864 -2.511 0.000
5.864 2.511 0.000
-2.031 0.000 6.641
Nb Tc Ge
5 1 5
direct
0.000 0.000 0.000
0.339 0.339 0.145
0.393 0.393 0.777
0.607 0.607 0.223
0.661 0.661 0.855
0.000 0.000 0.500
0.174 0.174 0.800
0.193 0.193 0.391
0.500 0.500 0.500
0.807 0.807 0.609
0.826 0.826 0.200
```

space-group type = C2/m, No. 12
calculated volume = 195.6 Å³/cell
calculated density = 7.86 g cm⁻³
final energy = -7.590 eV/atom
N(E_F) = 8.65 states/eV/f.u.
DFT formation energy = 0.0286 eV/atom

No. 7
First-principles (PBE) data for a relaxed structure of Ho2Pa3C4, as listed in Alexandria via LeMat-Bulk.

The structure in POSCAR format:
```
Ho2Pa3C4
1.0
5.997 -1.789 0.000
5.997 1.789 0.000
-4.433 0.000 7.612
Ho Pa C
2 3 4
direct
0.108 0.108 0.391
0.892 0.892 0.609
0.300 0.300 0.200
0.500 0.500 0.000
0.700 0.700 0.800
0.110 0.110 0.914
0.294 0.294 0.709
0.706 0.706 0.291
0.890 0.890 0.086
```

space-group type = C2/m, No. 12
calculated volume = 163.3 Å³/cell
calculated density = 10.89 g cm⁻³
final energy = -8.658 eV/atom
N(E_F) = 7.45 states/eV/f.u.
DFT formation energy = -0.3763 eV/atom

No. 8
First-principles (PBE) data for a relaxed structure of ZnFeTe, as listed in Alexandria via LeMat-Bulk.

The structure in POSCAR format:
```
ZnFeTe
1.0
4.142 0.000 0.000
-2.071 3.587 0.000
0.000 0.000 4.075
Zn Fe Te
1 1 1
direct
0.000 0.000 0.000
0.333 0.667 0.257
0.667 0.333 0.508
```

space-group type = P3m1, No. 156
excess energy over the best structure of this formula in the dataset = 0.2539 eV per atom
calculated volume = 60.6 Å³/cell
calculated density = 6.82 g cm⁻³
final energy = -3.895 eV/atom
formation energy without anion corrections = 0.398 eV per atom
N(E_F) = 4.23 states/eV/f.u.

No. 9
First-principles (PBE) data for a relaxed structure of PmPrSnGe, as listed in Alexandria via LeMat-Bulk.

The structure in POSCAR format:
```
PmPrSnGe
1.0
0.000 3.808 3.808
3.808 0.000 3.808
3.808 3.808 0.000
Pm Pr Sn Ge
1 1 1 1
direct
0.000 0.000 0.000
0.500 0.500 0.500
0.250 0.250 0.250
0.750 0.750 0.750
```

space-group type = F-43m, No. 216
calculated volume = 110.4 Å³/cell
calculated density = 7.18 g cm⁻³
final energy = -5.079 eV/atom
N(E_F) = 5.68 states/eV/f.u.
DFT formation energy = -0.5410 eV/atom

No. 10
First-principles (PBE) data for a relaxed structure of SbPb2N, as listed in Alexandria via LeMat-Bulk.

The structure in POSCAR format:
```
SbPb2N
1.0
9.705 -1.911 0.000
9.705 1.911 0.000
-2.066 0.000 6.250
Sb Pb N
2 4 2
direct
0.236 0.236 0.332
0.764 0.764 0.668
0.088 0.088 0.448
0.417 0.417 0.049
0.583 0.583 0.951
0.912 0.912 0.552
0.460 0.460 0.760
0.540 0.540 0.240
```

space-group type = C2/m, No. 12
excess energy over the best structure of this formula in the dataset = 0.0000 eV per atom
calculated volume = 231.8 Å³/cell
calculated density = 7.88 g cm⁻³
final energy = -4.594 eV/atom
formation energy without anion corrections = 0.372 eV per atom
N(E_F) = 1.33 states/eV/f.u.

No. 11
First-principles (PBE) data for a relaxed structure of Ba2VPt2, as listed in Alexandria via LeMat-Bulk.

The structure in POSCAR format:
```
Ba2VPt2
1.0
-1.936 1.936 9.978
1.936 -1.936 9.978
1.936 1.936 -9.978
Ba V Pt
2 1 2
direct
0.121 0.121 0.000
0.879 0.879 0.000
0.500 0.500 0.000
0.250 0.750 0.500
0.750 0.250 0.500
```

space-group type = I4/mmm, No. 139
excess energy over the best structure of this formula in the dataset = 0.0000 eV per atom
calculated volume = 149.6 Å³/cell
calculated density = 7.94 g cm⁻³
final energy = -4.807 eV/atom
N(E_F) = 4.26 states/eV/f.u.
DFT formation energy = 0.2024 eV/atom

No. 12
First-principles (PBE) data for a relaxed structure of Zr2Ta, as listed in Alexandria via LeMat-Bulk.

The structure in POSCAR format:
```
Zr2Ta
1.0
5.470 -1.737 0.000
5.470 1.737 0.000
-2.204 0.000 6.794
Zr Ta
4 2
direct
0.010 0.010 0.247
0.319 0.319 0.382
0.681 0.681 0.618
0.990 0.990 0.753
0.333 0.333 0.949
0.667 0.667 0.051
```

space-group type = C2/m, No. 12
calculated volume = 129.1 Å³/cell
calculated density = 9.35 g cm⁻³
final energy = -9.568 eV/atom
N(E_F) = 3.67 states/eV/f.u.
DFT formation energy = 0.0816 eV/atom